Entry 1:
ErTmMgCd PBE relaxed; crystal system = cubic; ΔE_f = -18.15 kJ/mol of atoms
1.0
-0.850 0.336 5.187
-3.318 -3.350 2.347
1.863 -3.728 3.221
Cd Mg Tm Er
1 1 1 1
direct
0.750 0.750 0.750
0.250 0.250 0.250
0.000 0.000 0.000
0.500 0.500 0.500

=====

Entry 2:
Pu2MgGa4 PBE relaxed; crystal system = tetragonal; ΔE_f = 18.95 kJ/mol of atoms; energy above the lowest structure with this stoichiometry = 322.2 kJ/mol of formula units
1.0
-0.785 -2.944 -3.752
-1.803 -3.337 2.996
-5.566 6.071 -0.485
Pu Mg Ga
2 1 4
direct
0.626 0.626 0.252
0.374 0.374 0.748
0.000 0.000 0.000
0.822 0.822 0.644
0.178 0.178 0.356
0.000 0.500 0.000
0.500 0.000 0.000

=====

- Among the records above, which one has the highest ΔE_f?
  Pu2MgGa4

=====

- The lowest ΔE_f belongs to which entry?
  ErTmMgCd

=====

- The lowest ΔE_f belongs to which entry?
  ErTmMgCd